Record 1
AcCeZn2: optimized geometry, PBE.

Structure (POSCAR):
```
AcCeZn2
1.0
3.767 0.000 0.000
0.000 3.767 0.000
0.000 0.000 7.552
Ac Ce Zn
1 1 2
direct
0.000 0.000 0.000 Ac
0.000 0.000 0.500 Ce
0.500 0.500 0.277 Zn
0.500 0.500 0.723 Zn
```

## Properties
For the formation enthalpy at 0 K, the calculation gives -0.192 eV/atom. The space-group type is No. 123. The total energy is -13.36 eV for the cell shown. For the total magnetization, the calculation gives 0.195 μB per atom.

=====

Record 2
Ac5CeZn6: optimized geometry, PBE.

Structure (POSCAR):
```
Ac5CeZn6
1.0
8.630 -3.872 0.000
8.630 3.872 0.000
-1.717 0.000 5.185
Ac Ce Zn
5 1 6
direct
0.000 0.000 0.000 Ac
0.166 0.166 0.666 Ac
0.333 0.333 0.332 Ac
0.667 0.667 0.668 Ac
0.834 0.834 0.334 Ac
0.500 0.500 0.000 Ce
0.097 0.581 0.838 Zn
0.264 0.736 0.500 Zn
0.419 0.903 0.162 Zn
0.581 0.097 0.838 Zn
0.736 0.264 0.500 Zn
0.903 0.419 0.162 Zn
```

## Properties
For the formation enthalpy at 0 K, the calculation gives -0.219 eV/atom. The space-group type is No. 12. The total energy is -36.75 eV for the cell shown. For the total magnetization, the calculation gives 0.100 μB per atom.

=====

Record 3
AcCe2Zn8: optimized geometry, PBE.

Structure (POSCAR):
```
AcCe2Zn8
1.0
3.982 -7.491 0.000
3.982 7.491 0.000
-3.101 0.000 3.888
Ac Ce Zn
1 2 8
direct
0.000 0.000 0.000 Ac
0.308 0.692 0.500 Ce
0.692 0.308 0.500 Ce
0.101 0.358 0.730 Zn
0.207 0.793 0.000 Zn
0.358 0.101 0.730 Zn
0.499 0.499 0.756 Zn
0.501 0.501 0.244 Zn
0.642 0.899 0.270 Zn
0.793 0.207 0.000 Zn
0.899 0.642 0.270 Zn
```

## Properties
For the formation enthalpy at 0 K, the calculation gives -0.241 eV/atom. The space-group type is No. 12. The total energy is -28.81 eV for the cell shown. For the total magnetization, the calculation gives 0.099 μB per atom.

=====

Record 4
AcCeZn2: optimized geometry, PBE.

Structure (POSCAR):
```
AcCeZn2
1.0
3.780 0.000 0.000
-1.890 3.274 0.000
0.000 0.000 28.228
Ac Ce Zn
3 3 6
direct
0.000 0.000 0.000 Ac
0.333 0.667 0.667 Ac
0.667 0.333 0.333 Ac
0.000 0.000 0.500 Ce
0.333 0.667 0.167 Ce
0.667 0.333 0.833 Ce
0.000 0.000 0.245 Zn
0.000 0.000 0.755 Zn
0.333 0.667 0.421 Zn
0.333 0.667 0.912 Zn
0.667 0.333 0.088 Zn
0.667 0.333 0.579 Zn
```

## Properties
For the formation enthalpy at 0 K, the calculation gives 0.026 eV/atom. The space-group type is No. 166. The total energy is -37.45 eV for the cell shown. For the total magnetization, the calculation gives 0.309 μB per atom.

=====

Record 5
AcCeZr2: optimized geometry, PBE.

Structure (POSCAR):
```
AcCeZr2
1.0
3.967 0.000 0.000
0.000 3.967 0.000
0.000 0.000 7.447
Ac Ce Zr
1 1 2
direct
0.000 0.000 0.000 Ac
0.000 0.000 0.500 Ce
0.500 0.500 0.303 Zr
0.500 0.500 0.697 Zr
```

## Properties
For the formation enthalpy at 0 K, the calculation gives 0.210 eV/atom. The space-group type is No. 123. The calculation puts the distance to the lowest polymorph of the same formula at 0 kJ/mol of formula units. The total energy is -26.30 eV for the cell shown. For the total magnetization, the calculation gives 0.000 μB per atom.

=====

Record 6
AcCeZr: optimized geometry, PBE.

Structure (POSCAR):
```
AcCeZr
1.0
3.523 0.000 0.000
0.000 3.523 0.000
0.000 0.000 14.863
Ac Ce Zr
2 2 2
direct
0.000 0.000 0.000 Ac
0.500 0.500 0.500 Ac
0.000 0.000 0.680 Ce
0.500 0.500 0.180 Ce
0.000 0.000 0.329 Zr
0.500 0.500 0.829 Zr
```

## Properties
For the formation enthalpy at 0 K, the calculation gives 0.228 eV/atom. The space-group type is No. 107. The total energy is -35.81 eV for the cell shown. For the total magnetization, the calculation gives 0.112 μB per atom.

=====

Record 7
AcCeZr2: optimized geometry, PBE.

Structure (POSCAR):
```
AcCeZr2
1.0
4.030 0.000 0.000
-2.015 3.490 0.000
0.000 0.000 28.301
Ac Ce Zr
3 3 6
direct
0.000 0.000 0.000 Ac
0.333 0.667 0.667 Ac
0.667 0.333 0.333 Ac
0.000 0.000 0.500 Ce
0.333 0.667 0.167 Ce
0.667 0.333 0.833 Ce
0.000 0.000 0.119 Zr
0.000 0.000 0.881 Zr
0.333 0.667 0.548 Zr
0.333 0.667 0.786 Zr
0.667 0.333 0.214 Zr
0.667 0.333 0.452 Zr
```

## Properties
For the formation enthalpy at 0 K, the calculation gives 1.124 eV/atom. The space-group type is No. 166. The calculation puts the distance to the lowest polymorph of the same formula at 353 kJ/mol of formula units. The total energy is -67.92 eV for the cell shown. For the total magnetization, the calculation gives 0.000 μB per atom.

=====

Record 8
Ac2Cl3: optimized geometry, PBE.

Structure (POSCAR):
```
Ac2Cl3
1.0
3.342 1.929 8.825
-3.342 1.929 8.825
0.000 -3.859 8.825
Ac Cl
4 6
direct
0.164 0.164 0.164 Ac
0.336 0.336 0.336 Ac
0.664 0.664 0.664 Ac
0.836 0.836 0.836 Ac
0.067 0.750 0.433 Cl
0.250 0.567 0.933 Cl
0.433 0.067 0.750 Cl
0.567 0.933 0.250 Cl
0.750 0.433 0.067 Cl
0.933 0.250 0.567 Cl
```

## Properties
The space-group type is No. 167. The total energy is -43.58 eV for the cell shown. As for the uncorrected formation energy: -1607 meV/atom. For the total magnetization, the calculation gives 0.506 μB per atom.